DFT (GGA-PBE) results for K3MoRu after structural relaxation.

Properties
E above lowest polymorph = 0 meV per atom
density = 2.20 Mg/m³

a b c (Å): 6.188 6.188 6.188
angles (deg): 90.00 90.00 90.00
Positions (direct):
Ru: 0.000 0.000 0.000
Mo: 0.500 0.500 0.500
K: 0.000 0.500 0.000
K: 0.000 0.000 0.500
K: 0.500 0.000 0.000

DFT (GGA-PBE) results for Pm5Y2Ho after structural relaxation.

Properties
E above lowest polymorph = 0 meV per atom
density = 6.63 Mg/m³

a b c (Å): 5.107 7.233 14.470
angles (deg): 90.00 90.00 90.00
Positions (direct):
Pm: 0.000 0.000 0.000
Pm: 0.000 0.500 0.500
Pm: 0.000 0.500 0.751
Pm: 0.000 0.500 0.249
Pm: 0.000 0.000 0.251
Pm: 0.000 0.000 0.749
Pm: 0.500 0.251 0.876
Pm: 0.500 0.749 0.124
Pm: 0.500 0.249 0.376
Pm: 0.500 0.751 0.624
Y: 0.500 0.250 0.624
Y: 0.500 0.750 0.376
Y: 0.500 0.250 0.124
Y: 0.500 0.750 0.876
Ho: 0.000 0.000 0.500
Ho: 0.000 0.500 0.000

DFT (GGA-PBE) results for UTi2Pd after structural relaxation.

Properties
E above lowest polymorph = 44 meV per atom
density = 10.54 Mg/m³

a b c (Å): 3.270 3.270 6.488
angles (deg): 90.00 90.00 90.00
Positions (direct):
U: 0.500 0.500 0.000
Pd: 0.500 0.500 0.500
Ti: 0.000 0.000 0.748
Ti: 0.000 0.000 0.252

DFT (GGA-PBE) results for AsPb3 after structural relaxation.

Properties
E above lowest polymorph = 47 meV per atom
density = 10.10 Mg/m³

a b c (Å): 3.762 3.762 8.090
angles (deg): 90.00 90.00 90.01
Positions (direct):
Pb: 0.500 0.500 0.789
Pb: 0.000 0.000 0.500
Pb: 0.500 0.500 0.211
As: 0.000 0.000 0.000